Here is a geometry-optimized NiOs2O structure from Alexandria. Energies are from GGA+U.

Structure (POSCAR):
```
NiOs2O
1.0
-3.464 1.230 -1.627
-1.718 -0.029 3.635
-0.618 7.463 1.991
Os Ni O
4 2 2
Direct
0.212 0.625 0.250
0.538 0.125 0.250
0.875 0.788 0.750
0.375 0.462 0.750
0.000 0.000 0.000
0.750 0.250 0.500
0.250 0.750 0.500
0.500 0.500 0.000
```

Values from the calculation:
E	-0.4705	Ry per atom
symmetry	No. 122